[1]
The following is a DFT calculation (GGA-PBEsol) of Ba2FeIr after structural relaxation.

## Properties
Formation enthalpy at 0 K = 0.71 eV/atom
Fermi-level density of states = 13.11 states/eV/cell
V = 27.3 Å³/atom
Crystal system = orthorhombic

abc: 5.187 5.261 8.004
angles: 90.00 90.00 90.00
Space group Cmmm (No. 65)
One atom of each set of equivalent atoms:
1 Ba 0.000 0.000 0.228 (multiplicity 4)
2 Fe 0.000 0.500 0.500 (multiplicity 2)
3 Ir 0.000 0.500 0.000 (multiplicity 2)

=====

[2]
The following is a DFT calculation (GGA-PBEsol) of KBaFe after structural relaxation.

## Properties
Formation enthalpy at 0 K = 1.30 eV/atom
Fermi-level density of states = 10.07 states/eV/cell
V = 37.9 Å³/atom
Crystal system = cubic

abc: 7.693 7.693 7.693
angles: 90.00 90.00 90.00
Space group F-43m (No. 216)
One atom of each set of equivalent atoms:
1 K 0.000 0.000 0.000 (multiplicity 4)
2 Ba 0.250 0.250 0.750 (multiplicity 4)
3 Fe 0.000 0.000 0.500 (multiplicity 4)

=====

[3]
The following is a DFT calculation (GGA-PBEsol) of BaLaFeO4 after structural relaxation.

## Properties
ΔE_f (raw) = -2.4881 eV/atom
Fermi-level density of states = 4.84 states/eV/cell
V = 14.0 Å³/atom
Crystal system = tetragonal

abc: 3.778 3.778 13.744
angles: 90.00 90.00 90.00
Space group I4mm (No. 107)
One atom of each set of equivalent atoms:
1 Ba 0.000 0.000 0.000 (multiplicity 2)
2 La 0.000 0.000 0.288 (multiplicity 2)
3 Fe 0.000 0.000 0.658 (multiplicity 2)
4 O 0.000 0.000 0.452 (multiplicity 2)
5 O 0.000 0.000 0.807 (multiplicity 2)
6 O 0.000 0.500 0.156 (multiplicity 4)

=====

[4]
The following is a DFT calculation (GGA-PBEsol) of BaLaTiFeO6 after structural relaxation.

## Properties
ΔE_f (raw) = -2.7233 eV/atom
Fermi-level density of states = 18.59 states/eV/cell
V = 11.6 Å³/atom
Crystal system = cubic

abc: 7.737 7.737 7.737
angles: 90.00 90.00 90.00
Space group F-43m (No. 216)
One atom of each set of equivalent atoms:
1 Ba 0.000 0.000 0.000 (multiplicity 4)
2 La 0.000 0.000 0.500 (multiplicity 4)
3 Ti 0.250 0.250 0.250 (multiplicity 4)
4 Fe 0.250 0.250 0.750 (multiplicity 4)
5 O 0.003 0.250 0.750 (multiplicity 24)

=====

[5]
The following is a DFT calculation (GGA-PBEsol) of BaLaFe2W after structural relaxation.

## Properties
Formation enthalpy at 0 K = 1.81 eV/atom
Fermi-level density of states = 8.35 states/eV/cell
V = 25.3 Å³/atom
Crystal system = tetragonal

abc: 4.923 4.923 5.212
angles: 90.00 90.00 90.00
Space group P4/mmm (No. 123)
One atom of each set of equivalent atoms:
1 Ba 0.000 0.000 0.000 (multiplicity 1)
2 La 0.500 0.500 0.500 (multiplicity 1)
3 Fe 0.000 0.500 0.500 (multiplicity 2)
4 W 0.500 0.500 0.000 (multiplicity 1)

=====

[6]
The following is a DFT calculation (GGA-PBEsol) of BaLiFe2 after structural relaxation.

## Properties
Formation enthalpy at 0 K = 0.83 eV/atom
Fermi-level density of states = 7.02 states/eV/cell
V = 18.8 Å³/atom
Crystal system = cubic

abc: 6.701 6.701 6.701
angles: 90.00 90.00 90.00
Space group F-43m (No. 216)
One atom of each set of equivalent atoms:
1 Ba 0.000 0.000 0.000 (multiplicity 4)
2 Li 0.250 0.250 0.250 (multiplicity 4)
3 Fe 0.000 0.000 0.500 (multiplicity 4)
4 Fe 0.250 0.250 0.750 (multiplicity 4)

=====

[7]
The following is a DFT calculation (GGA-PBEsol) of BaLi2Fe after structural relaxation.

## Properties
Formation enthalpy at 0 K = 0.64 eV/atom
Fermi-level density of states = 5.83 states/eV/cell
V = 24.7 Å³/atom
Crystal system = tetragonal

abc: 4.367 4.367 5.183
angles: 90.00 90.00 90.00
Space group P4/mmm (No. 123)
One atom of each set of equivalent atoms:
1 Ba 0.000 0.000 0.000 (multiplicity 1)
2 Li 0.000 0.500 0.500 (multiplicity 2)
3 Fe 0.500 0.500 0.000 (multiplicity 1)

=====

[8]
The following is a DFT calculation (GGA-PBEsol) of BaLiFe2 after structural relaxation.

## Properties
Formation enthalpy at 0 K = 0.77 eV/atom
Fermi-level density of states = 4.10 states/eV/cell
V = 19.9 Å³/atom
Crystal system = tetragonal

abc: 3.412 3.412 6.824
angles: 90.00 90.00 90.00
Space group P4/mmm (No. 123)
One atom of each set of equivalent atoms:
1 Ba 0.000 0.000 0.000 (multiplicity 1)
2 Li 0.000 0.000 0.500 (multiplicity 1)
3 Fe 0.500 0.500 0.343 (multiplicity 2)

=====

[9]
The following is a DFT calculation (GGA-PBEsol) of BaLiFe2 after structural relaxation.

## Properties
Formation enthalpy at 0 K = 0.75 eV/atom
Fermi-level density of states = 4.42 states/eV/cell
V = 20.9 Å³/atom
Crystal system = monoclinic

abc: 3.069 4.370 6.338
angles: 90.00 100.87 90.00
Space group P2/m (No. 10)
One atom of each set of equivalent atoms:
1 Ba 0.000 0.000 0.000 (multiplicity 1)
2 Li 0.500 0.000 0.500 (multiplicity 1)
3 Fe 0.283 0.500 0.637 (multiplicity 2)

=====

[10]
The following is a DFT calculation (GGA-PBEsol) of BaLi2Fe after structural relaxation.

## Properties
Formation enthalpy at 0 K = 0.56 eV/atom
Fermi-level density of states = 4.79 states/eV/cell
V = 24.8 Å³/atom
Crystal system = monoclinic

abc: 3.553 4.352 6.663
angles: 90.00 105.32 90.00
Space group Pm (No. 6)
One atom of each set of equivalent atoms:
1 Ba 0.000 0.000 0.000 (multiplicity 1)
2 Li 0.275 0.500 0.557 (multiplicity 1)
3 Li 0.725 0.000 0.461 (multiplicity 1)
4 Fe 0.617 0.500 0.235 (multiplicity 1)

=====

[11]
The following is a DFT calculation (GGA-PBEsol) of Ba2LiFe2N3 after structural relaxation.

## Properties
ΔE_f (raw) = -0.5787 eV/atom
Fermi-level density of states = 15.87 states/eV/cell
V = 16.1 Å³/atom
Crystal system = monoclinic

abc: 6.763 11.528 6.625
angles: 90.00 91.64 90.00
Space group C2/c (No. 15)
One atom of each set of equivalent atoms:
1 Ba 0.249 0.074 0.408 (multiplicity 8)
2 Li 0.000 0.197 0.750 (multiplicity 4)
3 Fe 0.141 0.294 0.106 (multiplicity 8)
4 N 0.000 0.393 0.250 (multiplicity 4)
5 N 0.142 0.147 0.007 (multiplicity 8)

=====

[12]
The following is a DFT calculation (GGA-PBEsol) of BaLuFe4O7 after structural relaxation.

## Properties
ΔE_f (raw) = -1.8115 eV/atom
Fermi-level density of states = 17.40 states/eV/cell
V = 13.1 Å³/atom
Crystal system = tetragonal

abc: 6.159 6.159 8.962
angles: 90.00 90.00 90.00
Space group I-4 (No. 82)
One atom of each set of equivalent atoms:
1 Ba 0.000 0.000 0.000 (multiplicity 2)
2 Lu 0.000 0.500 0.750 (multiplicity 2)
3 Fe 0.016 0.272 0.362 (multiplicity 8)
4 O 0.000 0.000 0.500 (multiplicity 2)
5 O 0.000 0.500 0.508 (multiplicity 4)
6 O 0.198 0.212 0.775 (multiplicity 8)

=====

[13]
The following is a DFT calculation (GGA-PBEsol) of BaMgFe2 after structural relaxation.

## Properties
Formation enthalpy at 0 K = 0.96 eV/atom
Fermi-level density of states = 32.46 states/eV/cell
V = 21.4 Å³/atom
Crystal system = cubic

abc: 6.996 6.996 6.996
angles: 90.00 90.00 90.00
Space group Fm-3m (No. 225)
One atom of each set of equivalent atoms:
1 Ba 0.000 0.000 0.000 (multiplicity 4)
2 Mg 0.000 0.000 0.500 (multiplicity 4)
3 Fe 0.250 0.250 0.250 (multiplicity 8)

=====

[14]
The following is a DFT calculation (GGA-PBEsol) of BaMgFe2 after structural relaxation.

## Properties
Formation enthalpy at 0 K = 0.44 eV/atom
Fermi-level density of states = 4.14 states/eV/cell
V = 20.6 Å³/atom
Crystal system = tetragonal

abc: 3.192 3.192 8.094
angles: 90.00 90.00 90.00
Space group P4mm (No. 99)
One atom of each set of equivalent atoms:
1 Ba 0.000 0.000 0.000 (multiplicity 1)
2 Mg 0.500 0.500 0.627 (multiplicity 1)
3 Fe 0.000 0.000 0.409 (multiplicity 1)
4 Fe 0.500 0.500 0.304 (multiplicity 1)

=====

[15]
The following is a DFT calculation (GGA-PBEsol) of BaMgFe after structural relaxation.

## Properties
Formation enthalpy at 0 K = 0.56 eV/atom
Fermi-level density of states = 8.66 states/eV/cell
V = 25.7 Å³/atom
Crystal system = tetragonal

abc: 3.518 3.518 12.456
angles: 90.00 90.00 90.00
Space group I4mm (No. 107)
One atom of each set of equivalent atoms:
1 Ba 0.000 0.000 0.000 (multiplicity 2)
2 Mg 0.000 0.000 0.726 (multiplicity 2)
3 Fe 0.000 0.000 0.321 (multiplicity 2)

=====

[16]
The following is a DFT calculation (GGA-PBEsol) of Ba2MgFe after structural relaxation.

## Properties
Formation enthalpy at 0 K = 0.55 eV/atom
Fermi-level density of states = 7.52 states/eV/cell
V = 33.3 Å³/atom
Crystal system = tetragonal

abc: 5.776 5.776 3.996
angles: 90.00 90.00 90.00
Space group P4/mmm (No. 123)
One atom of each set of equivalent atoms:
1 Ba 0.000 0.500 0.000 (multiplicity 2)
2 Mg 0.000 0.000 0.500 (multiplicity 1)
3 Fe 0.500 0.500 0.500 (multiplicity 1)

=====

[17]
The following is a DFT calculation (GGA-PBEsol) of BaMnFe2 after structural relaxation.

## Properties
Formation enthalpy at 0 K = 1.18 eV/atom
Fermi-level density of states = 23.07 states/eV/cell
V = 17.5 Å³/atom
Crystal system = trigonal

abc: 3.0321 3.0321 26.3646
angles: 90.00 90.00 120.00
Space group R-3m (No. 166, hexagonal axes)
One atom of each set of equivalent atoms:
1 Ba 0.0000 0.0000 0.0000 (multiplicity 3)
2 Mn 0.0000 0.0000 0.5000 (multiplicity 3)
3 Fe 0.0000 0.0000 0.2283 (multiplicity 6)

=====

[18]
The following is a DFT calculation (GGA-PBEsol) of BaMnFe2 after structural relaxation.

## Properties
Formation enthalpy at 0 K = 0.81 eV/atom
Fermi-level density of states = 9.04 states/eV/cell
V = 20.9 Å³/atom
Crystal system = orthorhombic

abc: 3.453 3.947 12.253
angles: 90.00 90.00 90.00
Space group Imm2 (No. 44)
One atom of each set of equivalent atoms:
1 Ba 0.000 0.000 0.000 (multiplicity 2)
2 Mn 0.000 0.500 0.241 (multiplicity 2)
3 Fe 0.000 0.000 0.357 (multiplicity 2)
4 Fe 0.000 0.500 0.736 (multiplicity 2)

=====

[19]
The following is a DFT calculation (GGA-PBEsol) of BaMn2Fe after structural relaxation.

## Properties
Formation enthalpy at 0 K = 0.78 eV/atom
Fermi-level density of states = 6.06 states/eV/cell
V = 17.4 Å³/atom
Crystal system = tetragonal

abc: 3.018 3.018 7.628
angles: 90.00 90.00 90.00
Space group P4mm (No. 99)
One atom of each set of equivalent atoms:
1 Ba 0.000 0.000 0.000 (multiplicity 1)
2 Mn 0.000 0.000 0.481 (multiplicity 1)
3 Mn 0.500 0.500 0.648 (multiplicity 1)
4 Fe 0.500 0.500 0.329 (multiplicity 1)

=====

[20]
The following is a DFT calculation (GGA-PBEsol) of Ba2MnFe after structural relaxation.

## Properties
Formation enthalpy at 0 K = 0.67 eV/atom
Fermi-level density of states = 4.35 states/eV/cell
V = 28.2 Å³/atom
Crystal system = tetragonal

abc: 3.518 3.518 9.102
angles: 90.00 90.00 90.00
Space group P4mm (No. 99)
One atom of each set of equivalent atoms:
1 Ba 0.000 0.000 0.000 (multiplicity 1)
2 Ba 0.500 0.500 0.422 (multiplicity 1)
3 Mn 0.500 0.500 0.749 (multiplicity 1)
4 Fe 0.000 0.000 0.671 (multiplicity 1)

=====

Table of total magnetic moment (μB/f.u.), in record order: 3.021, 2.865, 3.521, 0.998, 6.378, 4.780, 2.305, 5.380, 5.287, 2.213, 0.853, 17.002, 5.179, 4.516, 2.402, 2.568, 6.761, 8.724, 5.561, 5.715